[1]
Below is a relaxed structure of PrTm4Sc6, with properties calculated at the GGA-PBE level.

POSCAR file:
```
PrTm4Sc6
1.0
-4.516 -2.795 -1.122
1.538 -1.478 -2.506
6.661 -10.486 12.443
Pr Tm Sc
1 4 6
Direct
0.000 0.000 0.000
0.453 0.453 0.905
0.183 0.183 0.365
0.817 0.817 0.635
0.547 0.547 0.095
0.733 0.233 0.467
0.902 0.402 0.805
0.098 0.598 0.195
0.630 0.130 0.260
0.370 0.870 0.740
0.267 0.767 0.533
```

Summary:
Crystal system   orthorhombic
DFT formation energy   15.22 kJ per mole of atoms


[2]
Below is a relaxed structure of MnGaPd6, with properties calculated at the GGA-PBE level.

POSCAR file:
```
MnGaPd6
1.0
-0.975 2.339 -2.959
-5.385 -0.815 1.130
0.057 4.373 3.438
Mn Ga Pd
1 1 6
Direct
0.500 0.000 0.000
0.500 0.500 0.500
0.500 0.000 0.500
0.500 0.500 0.000
0.000 0.251 0.251
0.000 0.749 0.749
0.000 0.749 0.251
0.000 0.251 0.749
```

Summary:
Relative energy among the computed polymorphs   0 meV per atom
Crystal system   tetragonal
DFT formation energy   -32.70 kJ per mole of atoms


[3]
Below is a relaxed structure of Li5ZnHg, with properties calculated at the GGA-PBE level.

POSCAR file:
```
Li5ZnHg
1.0
-1.999 2.738 3.070
-0.499 -3.528 2.867
5.594 1.258 2.521
Li Zn Hg
5 1 1
Direct
0.500 0.000 0.231
0.000 0.500 0.231
0.000 0.000 0.500
0.000 0.500 0.769
0.500 0.000 0.769
0.000 0.000 0.000
0.500 0.500 0.500
```

Summary:
Relative energy among the computed polymorphs   0 meV per atom
Crystal system   orthorhombic
DFT formation energy   -12.35 kJ per mole of atoms


[4]
Below is a relaxed structure of LiYZr, with properties calculated at the GGA-PBE level.

POSCAR file:
```
LiYZr
1.0
-4.633 0.491 -2.600
3.760 -3.303 -1.849
-2.318 -4.477 3.284
Y Zr Li
2 2 2
Direct
0.333 0.667 0.750
0.667 0.333 0.250
0.333 0.667 0.250
0.667 0.333 0.750
0.000 0.000 0.000
0.000 0.000 0.500
```

Summary:
Relative energy among the computed polymorphs   446 meV per atom
Crystal system   hexagonal
DFT formation energy   49.51 kJ per mole of atoms


[5]
Below is a relaxed structure of TaCuBi2O6, with properties calculated at the GGA-PBE level.

POSCAR file:
```
TaCuBi2O6
1.0
5.734 0.000 0.069
0.000 5.169 0.000
0.056 0.000 9.859
Ta Cu Bi O
2 2 4 12
Direct
0.000 0.500 0.500
0.500 0.000 0.000
0.000 0.500 0.000
0.500 0.000 0.500
0.998 0.981 0.204
0.502 0.481 0.296
0.498 0.519 0.704
0.002 0.019 0.796
0.818 0.285 0.638
0.791 0.216 0.022
0.883 0.284 0.347
0.617 0.784 0.153
0.709 0.716 0.478
0.682 0.785 0.862
0.318 0.215 0.138
0.291 0.284 0.522
0.383 0.216 0.847
0.209 0.784 0.978
0.117 0.716 0.653
0.182 0.715 0.362
```

Summary:
Crystal system   monoclinic
Calculated total energy   -6.984 eV per atom


[6]
Below is a relaxed structure of Ti2VCdC, with properties calculated at the GGA-PBE level.

POSCAR file:
```
Ti2VCdC
1.0
-0.753 4.114 -0.806
-2.488 0.221 3.450
3.196 1.023 2.239
C V Ti Cd
1 1 2 1
Direct
0.000 0.000 0.000
0.000 0.000 0.500
0.000 0.500 0.000
0.500 0.000 0.000
0.500 0.500 0.500
```

Summary:
Crystal system   tetragonal
DFT formation energy   -30.80 kJ per mole of atoms


[7]
Below is a relaxed structure of Y6CdSi2, with properties calculated at the GGA-PBE level.

POSCAR file:
```
Y6CdSi2
1.0
-2.243 1.448 -8.110
2.392 -8.113 1.170
-6.555 1.256 5.325
Y Cd Si
12 2 4
Direct
0.455 0.274 0.181
0.545 0.726 0.819
0.907 0.726 0.181
0.093 0.274 0.819
0.200 0.754 0.954
0.800 0.246 0.046
0.800 0.754 0.554
0.200 0.246 0.446
0.299 0.977 0.678
0.701 0.023 0.322
0.701 0.379 0.678
0.299 0.621 0.322
0.000 0.500 0.500
0.000 0.000 0.000
0.500 0.383 0.883
0.500 0.617 0.117
0.357 0.000 0.357
0.643 0.000 0.643
```

Summary:
Crystal system   orthorhombic
Calculated total energy   -6.125 eV per atom


[8]
Below is a relaxed structure of Al2AgRh, with properties calculated at the GGA-PBE level.

POSCAR file:
```
Al2AgRh
1.0
-0.171 -4.903 0.236
0.510 -4.116 -2.631
4.168 -1.298 0.633
Rh Al Ag
1 2 1
Direct
0.488 0.488 0.567
0.001 0.001 0.045
0.758 0.758 0.688
0.252 0.252 0.200
```

Summary:
Relative energy among the computed polymorphs   47 meV per atom
Crystal system   monoclinic
DFT formation energy   -48.05 kJ per mole of atoms


[9]
Below is a relaxed structure of Pr2RhAu, with properties calculated at the GGA-PBE level.

POSCAR file:
```
Pr2RhAu
1.0
-3.766 0.631 1.676
-2.164 -3.217 1.535
1.096 0.178 7.583
Pr Rh Au
2 1 1
Direct
0.741 0.741 0.778
0.259 0.259 0.222
0.000 0.000 0.000
0.500 0.500 0.500
```

Summary:
Crystal system   trigonal
DFT formation energy   -63.24 kJ per mole of atoms


[10]
Below is a relaxed structure of ScBeCo2H6, with properties calculated at the GGA-PBE level.

POSCAR file:
```
ScBeCo2H6
1.0
-1.760 2.462 -2.637
-3.995 0.383 -0.031
-1.603 4.484 2.201
Sc Be Co H
1 1 2 6
Direct
0.000 0.000 0.000
0.500 0.500 0.500
0.796 0.796 0.611
0.204 0.204 0.389
0.082 0.558 0.804
0.557 0.082 0.804
0.442 0.443 0.196
0.918 0.442 0.196
0.443 0.918 0.196
0.558 0.557 0.804
```

Summary:
Crystal system   trigonal
Calculated total energy   -4.618 eV per atom


[11]
Below is a relaxed structure of SrMoPt, with properties calculated at the GGA-PBE level.

POSCAR file:
```
SrMoPt
1.0
4.749 -2.742 0.000
0.000 5.484 0.000
0.000 0.000 9.539
Sr Mo Pt
2 2 2
Direct
0.333 0.667 0.250
0.667 0.333 0.750
0.000 0.000 0.250
0.000 0.000 0.750
0.000 0.000 0.000
0.000 0.000 0.500
```

Summary:
Relative energy among the computed polymorphs   1479 meV per atom
Crystal system   hexagonal
DFT formation energy   129.90 kJ per mole of atoms


[12]
Below is a relaxed structure of Li2LaCd2, with properties calculated at the GGA-PBE level.

POSCAR file:
```
Li2LaCd2
1.0
5.128 0.031 0.010
2.534 4.193 1.713
-0.010 0.353 5.458
Li La Cd
2 1 2
Direct
0.103 0.293 0.743
0.897 0.707 0.257
0.500 0.500 0.000
0.258 0.984 0.334
0.742 0.016 0.666
```

Summary:
Relative energy among the computed polymorphs   0 meV per atom
Crystal system   monoclinic
DFT formation energy   -22.90 kJ per mole of atoms


[13]
Below is a relaxed structure of Dy5Tl3In, with properties calculated at the GGA-PBE level.

POSCAR file:
```
Dy5Tl3In
1.0
-4.199 1.717 4.885
3.291 -6.946 5.271
3.938 8.437 0.419
Dy Tl In
10 6 2
Direct
0.000 0.667 0.333
0.500 0.333 0.667
0.000 0.333 0.667
0.500 0.667 0.333
0.750 0.712 0.712
0.750 0.000 0.288
0.750 0.288 0.000
0.250 0.288 0.288
0.250 0.000 0.712
0.250 0.712 0.000
0.750 0.374 0.374
0.750 0.000 0.626
0.750 0.626 0.000
0.250 0.626 0.626
0.250 0.000 0.374
0.250 0.374 0.000
0.000 0.000 0.000
0.500 0.000 0.000
```

Summary:
Crystal system   hexagonal
DFT formation energy   -34.76 kJ per mole of atoms


[14]
Below is a relaxed structure of CdHBr2, with properties calculated at the GGA-PBE level.

POSCAR file:
```
CdHBr2
1.0
-0.774 7.547 0.423
1.582 6.344 3.870
3.476 6.756 -0.019
H Br Cd
1 2 1
Direct
0.000 0.000 0.000
0.080 0.080 0.080
0.920 0.920 0.920
0.500 0.500 0.500
```

Summary:
Crystal system   trigonal
Calculated total energy   -2.095 eV per atom


[15]
Below is a relaxed structure of AgHgS4, with properties calculated at the GGA-PBE level.

POSCAR file:
```
AgHgS4
1.0
-4.186 2.693 -2.386
-0.779 -4.029 -0.027
4.972 -6.654 19.997
Ag Hg S
2 2 8
Direct
0.017 0.985 0.145
0.983 0.015 0.855
0.307 0.710 0.378
0.693 0.290 0.622
0.637 0.689 0.170
0.312 0.258 0.096
0.946 0.815 0.586
0.466 0.756 0.664
0.363 0.311 0.830
0.688 0.742 0.904
0.054 0.185 0.414
0.534 0.244 0.336
```

Summary:
Crystal system   triclinic
Calculated total energy   -3.159 eV per atom


[16]
Below is a relaxed structure of ErTmAs2, with properties calculated at the GGA-PBE level.

POSCAR file:
```
ErTmAs2
1.0
-1.818 3.816 -3.906
-5.460 -1.193 1.376
3.742 2.833 5.267
Er Tm As
2 2 4
Direct
0.750 0.250 0.500
0.000 0.000 0.000
0.500 0.500 0.000
0.250 0.750 0.500
0.750 0.750 0.499
0.500 0.000 0.999
0.250 0.250 0.501
0.000 0.500 0.001
```

Summary:
Relative energy among the computed polymorphs   0 meV per atom
Crystal system   tetragonal
DFT formation energy   -146.19 kJ per mole of atoms


[17]
Below is a relaxed structure of InHgTe2, with properties calculated at the GGA-PBE level.

POSCAR file:
```
InHgTe2
1.0
-0.497 0.008 -3.154
2.958 -1.108 -0.469
-4.234 -11.573 0.638
Hg In Te
1 1 2
Direct
0.000 0.000 0.519
0.500 0.500 0.747
0.000 0.000 0.957
0.500 0.500 0.277
```

Summary:
Crystal system   tetragonal
Calculated total energy   -2.270 eV per atom


[18]
Below is a relaxed structure of Cu2WN, with properties calculated at the GGA-PBE level.

POSCAR file:
```
Cu2WN
1.0
6.845 0.000 0.000
0.000 6.845 0.000
3.423 3.423 2.057
Cu W N
4 2 2
Direct
0.547 0.125 0.250
0.203 0.625 0.250
0.375 0.453 0.750
0.875 0.797 0.750
0.000 0.000 0.000
0.750 0.250 0.500
0.500 0.500 0.000
0.250 0.750 0.500
```

Summary:
Crystal system   tetragonal
Calculated total energy   -6.792 eV per atom


[19]
Below is a relaxed structure of MgZn2CdSe4, with properties calculated at the GGA-PBE level.

POSCAR file:
```
MgZn2CdSe4
1.0
-1.634 1.927 -5.319
-2.680 -5.139 -1.039
-2.893 3.768 5.514
Mg Zn Cd Se
1 2 1 4
Direct
0.500 0.500 0.000
0.750 0.250 0.500
0.250 0.750 0.500
0.000 0.000 0.000
0.610 0.610 0.732
0.390 0.878 0.268
0.878 0.390 0.268
0.123 0.123 0.732
```

Summary:
Crystal system   tetragonal
Calculated total energy   -3.189 eV per atom


[20]
Below is a relaxed structure of Ba2NaSnPt, with properties calculated at the GGA-PBE level.

POSCAR file:
```
Ba2NaSnPt
1.0
-0.502 2.641 -5.730
2.917 -5.000 -2.561
-4.541 -2.308 -0.666
Na Ba Pt Sn
1 2 1 1
Direct
0.500 0.500 0.500
0.000 0.500 0.000
0.500 0.000 0.000
0.000 0.000 0.000
0.000 0.000 0.500
```

Summary:
Crystal system   tetragonal
DFT formation energy   -43.67 kJ per mole of atoms


What are the theoretical density values for these records? In order: 5.8; 10.5; 3.8; 4.2; 8.6; 6.2; 4.9; 7.3; 8.8; 4.5; 5.1; 5.5; 10.2; 3.9; 4.5; 8.5; 7.5; 11.2; 4.7; 4.9 g cm⁻³.